[1]
Entry from the Alexandria database: a relaxed structure of Pa2Pd2Pb (GGA-PBE).

Computed properties:
E_form in eV per formula unit: -2.15
Calculated total energy in eV per atom: -7.0463

Cell lengths 7.8174, 7.8174, 3.7520 Å; angles 90.00, 90.00, 90.00 degrees
With the nearest neighbours (Å) after each atom.
Fractional positions:
Pa1 0.1734 0.3266 0.0000  6 Pd 2.89-3.03
Pa2 0.3266 0.8266 0.0000  6 Pd 2.89-3.03
Pa3 0.6734 0.1734 0.0000  6 Pd 2.89-3.03
Pa4 0.8266 0.6734 0.0000  6 Pd 2.89-3.03
Pd1 0.1273 0.6273 0.5000  1 Pd 2.82, 6 Pa 2.89-3.03, 2 Pb 3.08
Pd2 0.3727 0.1273 0.5000  1 Pd 2.82, 6 Pa 2.89-3.03, 2 Pb 3.08
Pd3 0.6273 0.8727 0.5000  1 Pd 2.82, 6 Pa 2.89-3.03, 2 Pb 3.08
Pd4 0.8727 0.3727 0.5000  1 Pd 2.82, 6 Pa 2.89-3.03, 2 Pb 3.08
Pb1 0.0000 0.0000 0.5000  4 Pd 3.08, 8 Pa 3.45
Pb2 0.5000 0.5000 0.5000  4 Pd 3.08, 8 Pa 3.45

[2]
Entry from the Alexandria database: a relaxed structure of PaPd2Pb (GGA-PBE).

Computed properties:
E_form in eV per formula unit: -1.77
Calculated total energy in eV per atom: -6.3397

Cell lengths 4.9079, 4.9079, 4.9079 Å; angles 60.00, 60.00, 60.00 degrees
With the nearest neighbours (Å) after each atom.
Fractional positions:
Pa1 0.0000 0.0000 0.0000  8 Pd 3.01
Pd1 0.2500 0.2500 0.2500  4 Pb 3.01, 4 Pa 3.01
Pd2 0.7500 0.7500 0.7500  4 Pb 3.01, 4 Pa 3.01
Pb1 0.5000 0.5000 0.5000  8 Pd 3.01

[3]
Entry from the Alexandria database: a relaxed structure of PaPd4Pb (GGA-PBE).

Computed properties:
E_form in eV per formula unit: -2.89
Calculated total energy in eV per atom: -6.1444

Cell lengths 5.9368, 5.7779, 7.2065 Å; angles 90.00, 109.05, 90.00 degrees
With the nearest neighbours (Å) after each atom.
Fractional positions:
Pa1 0.2135 0.2500 0.4340  8 Pd 2.67-2.99
Pa2 0.7865 0.7500 0.5660  8 Pd 2.67-2.99
Pd1 0.1980 0.7500 0.8626  1 Pa 2.67, 5 Pd 2.79-2.87, 3 Pb 2.90-2.97
Pd2 0.2434 0.7500 0.4797  1 Pb 2.77, 5 Pd 2.77-2.91, 4 Pa 2.91-3.08
Pd3 0.4499 0.5090 0.2190  6 Pd 2.77-2.99, 2 Pa 2.83-2.99, 1 Pb 3.00
Pd4 0.4499 0.9910 0.2190  6 Pd 2.77-2.99, 2 Pa 2.83-2.99, 1 Pb 3.00
Pd5 0.5501 0.0090 0.7810  6 Pd 2.77-2.99, 2 Pa 2.83-2.99, 1 Pb 3.00
Pd6 0.5501 0.4910 0.7810  6 Pd 2.77-2.99, 2 Pa 2.83-2.99, 1 Pb 3.00
Pd7 0.7566 0.2500 0.5203  1 Pb 2.77, 5 Pd 2.77-2.91, 4 Pa 2.91-3.08
Pd8 0.8020 0.2500 0.1374  1 Pa 2.67, 5 Pd 2.79-2.87, 3 Pb 2.90-2.97
Pb1 0.1000 0.2500 0.8890  6 Pd 2.77-3.00
Pb2 0.9000 0.7500 0.1110  6 Pd 2.77-3.00

[4]
Entry from the Alexandria database: a relaxed structure of Pa2PdPb (GGA-PBE).

Computed properties:
E_form in eV per formula unit: 0.57
Calculated total energy in eV per atom: -6.8305

Cell lengths 11.1967, 11.1967, 11.1967 Å; angles 16.50, 16.50, 16.50 degrees
With the nearest neighbours (Å) after each atom.
Fractional positions:
Pa1 0.0805 0.0805 0.0805  1 Pd 2.67
Pa2 0.9195 0.9195 0.9195  1 Pd 2.67
Pd1 0.0000 0.0000 0.0000  2 Pa 2.67
Pb1 0.5000 0.5000 0.5000  6 Pb 3.21, 6 Pa 3.41

[5]
Entry from the Alexandria database: a relaxed structure of Pa2PdPb (GGA-PBE).

Computed properties:
E_form in eV per formula unit: -0.65
Calculated total energy in eV per atom: -7.1362

Cell lengths 3.3042, 3.3042, 8.7386 Å; angles 90.00, 90.00, 90.00 degrees
With the nearest neighbours (Å) after each atom.
Fractional positions:
Pa1 0.0000 0.0000 0.2215  4 Pd 3.03, 4 Pa 3.30, 4 Pb 3.37
Pa2 0.0000 0.0000 0.7785  4 Pd 3.03, 4 Pa 3.30, 4 Pb 3.37
Pd1 0.5000 0.5000 0.0000  8 Pa 3.03, 4 Pd 3.30
Pb1 0.5000 0.5000 0.5000  4 Pb 3.30, 8 Pa 3.37

[6]
Entry from the Alexandria database: a relaxed structure of PmPaPdPb (GGA-PBE).

Computed properties:
E_form in eV per formula unit: -0.67
Calculated total energy in eV per atom: -5.9555

Cell lengths 5.2868, 5.2868, 5.2868 Å; angles 60.00, 60.00, 60.00 degrees
With the nearest neighbours (Å) after each atom.
Fractional positions:
Pm1 0.0000 0.0000 0.0000  4 Pb 3.24, 4 Pd 3.24
Pa1 0.5000 0.5000 0.5000  4 Pb 3.24, 4 Pd 3.24
Pd1 0.2500 0.2500 0.2500  4 Pa 3.24, 4 Pm 3.24
Pb1 0.7500 0.7500 0.7500  4 Pa 3.24, 4 Pm 3.24

[7]
Entry from the Alexandria database: a relaxed structure of PaPdRhPb (GGA-PBE).

Computed properties:
E_form in eV per formula unit: -1.63
Calculated total energy in eV per atom: -6.8440

Cell lengths 4.8722, 4.8722, 4.8722 Å; angles 60.00, 60.00, 60.00 degrees
With the nearest neighbours (Å) after each atom.
Fractional positions:
Pa1 0.0000 0.0000 0.0000  4 Pd 2.98, 4 Rh 2.98
Pd1 0.7500 0.7500 0.7500  4 Pa 2.98, 4 Pb 2.98
Rh1 0.2500 0.2500 0.2500  4 Pb 2.98, 4 Pa 2.98
Pb1 0.5000 0.5000 0.5000  4 Pd 2.98, 4 Rh 2.98

[8]
Entry from the Alexandria database: a relaxed structure of PaPdPb2S5 (GGA-PBE).

Computed properties:
Raw formation energy in eV per atom: -0.8422
Calculated total energy in eV per atom: -5.5914

Cell lengths 9.0269, 9.0269, 12.7849 Å; angles 90.00, 90.00, 154.62 degrees
With the nearest neighbours (Å) after each atom.
Fractional positions:
Pa1 0.2036 0.7964 0.5000  6 S 2.67-2.69
Pa2 0.7964 0.2036 0.0000  6 S 2.67-2.69
Pd1 0.4295 0.5705 0.9092  4 S 2.38-2.49
Pd2 0.5705 0.4295 0.4092  4 S 2.38-2.49
Pb1 0.0791 0.9209 0.1468  5 S 2.82-3.12
Pb2 0.1259 0.8741 0.8153  5 S 2.92-3.01
Pb3 0.8741 0.1259 0.3153  5 S 2.92-3.01
Pb4 0.9209 0.0791 0.6468  5 S 2.82-3.12
S1 0.0518 0.9482 0.5083  2 Pd 2.38
S2 0.2852 0.7148 0.1385  2 Pa 2.67
S3 0.2927 0.7073 0.8600  1 Pd 2.49, 2 Pa 2.67
S4 0.3558 0.6442 0.4814  1 Pa 2.69, 2 Pb 2.92
S5 0.4935 0.5065 0.2503  1 Pd 2.44
S6 0.5065 0.4935 0.7503  1 Pd 2.44
S7 0.6442 0.3558 0.9814  1 Pa 2.69, 2 Pb 2.92
S8 0.7073 0.2927 0.3600  1 Pd 2.49, 2 Pa 2.67
S9 0.7148 0.2852 0.6385  2 Pa 2.67
S10 0.9482 0.0518 0.0083  2 Pd 2.38

[9]
Entry from the Alexandria database: a relaxed structure of PaPdPbS4 (GGA-PBE).

Computed properties:
Raw formation energy in eV per atom: -0.9009
Calculated total energy in eV per atom: -5.8876

Cell lengths 6.8826, 5.5527, 8.6456 Å; angles 90.00, 112.08, 90.00 degrees
With the nearest neighbours (Å) after each atom.
Fractional positions:
Pa1 0.2332 0.2500 0.4493  8 S 2.70-2.97
Pa2 0.7668 0.7500 0.5507  8 S 2.70-2.97
Pd1 0.2872 0.7500 0.7232  4 S 2.38-2.54
Pd2 0.7128 0.2500 0.2768  4 S 2.38-2.54
Pb1 0.2185 0.2500 0.9365  6 S 2.92-3.23
Pb2 0.7815 0.7500 0.0635  6 S 2.92-3.23
S1 0.0528 0.7500 0.8666  1 Pd 2.38
S2 0.0666 0.7500 0.4131  1 Pd 2.54, 1 Pa 2.74
S3 0.4488 0.5158 0.2912  1 Pd 2.38, 1 S 2.60
S4 0.4488 0.9842 0.2912  1 Pd 2.38, 1 S 2.60
S5 0.5512 0.0158 0.7088  1 Pd 2.38, 1 S 2.60
S6 0.5512 0.4842 0.7088  1 Pd 2.38, 1 S 2.60
S7 0.9334 0.2500 0.5869  1 Pd 2.54, 1 Pa 2.74
S8 0.9472 0.2500 0.1334  1 Pd 2.38

[10]
Entry from the Alexandria database: a relaxed structure of PaPdPbSe3 (GGA-PBE).

Computed properties:
Raw formation energy in eV per atom: -0.8741
Calculated total energy in eV per atom: -5.6825

Cell lengths 7.6336, 4.0838, 10.7390 Å; angles 90.00, 104.53, 90.00 degrees
With the nearest neighbours (Å) after each atom.
Fractional positions:
Pa1 0.1681 0.2500 0.1621  6 Se 2.76-2.89
Pa2 0.8319 0.7500 0.8379  6 Se 2.76-2.89
Pd1 0.4057 0.7500 0.3943  3 Se 2.58-2.72
Pd2 0.5943 0.2500 0.6057  3 Se 2.58-2.72
Pb1 0.3056 0.7500 0.6406  3 Pd 2.93-3.10, 2 Se 3.08
Pb2 0.6944 0.2500 0.3594  3 Pd 2.93-3.10, 2 Se 3.08
Se1 0.1017 0.2500 0.8852  3 Pa 2.85-2.89
Se2 0.1821 0.2500 0.4217  2 Pd 2.72, 1 Pa 2.76
Se3 0.4258 0.7500 0.1580  1 Pd 2.58, 2 Pa 2.84
Se4 0.5742 0.2500 0.8420  1 Pd 2.58, 2 Pa 2.84
Se5 0.8179 0.7500 0.5783  2 Pd 2.72, 1 Pa 2.76
Se6 0.8983 0.7500 0.1148  3 Pa 2.85-2.89

[11]
Entry from the Alexandria database: a relaxed structure of PaPd2Pb2Se4 (GGA-PBE).

Computed properties:
Raw formation energy in eV per atom: -0.7177
Calculated total energy in eV per atom: -5.2995

Cell lengths 8.1558, 8.1558, 7.7026 Å; angles 111.86, 111.86, 28.82 degrees
With the nearest neighbours (Å) after each atom.
Fractional positions:
Pa1 0.0000 0.0000 0.0000  6 Se 2.80-2.86
Pd1 0.3258 0.3258 0.0137  3 Se 2.57-2.70
Pd2 0.6742 0.6742 0.9863  3 Se 2.57-2.70
Pb1 0.1554 0.1554 0.6762  3 Pd 2.94-3.06, 2 Se 3.06
Pb2 0.8446 0.8446 0.3238  3 Pd 2.94-3.06, 2 Se 3.06
Se1 0.1878 0.1878 0.2263  2 Pd 2.70, 1 Pa 2.80
Se2 0.4924 0.4924 0.2544  1 Pd 2.57, 2 Pa 2.86
Se3 0.5076 0.5076 0.7456  1 Pd 2.57, 2 Pa 2.86
Se4 0.8122 0.8122 0.7737  2 Pd 2.70, 1 Pa 2.80

[12]
Entry from the Alexandria database: a relaxed structure of PaPdPbSe4 (GGA-PBE).

Computed properties:
Raw formation energy in eV per atom: -0.8055
Calculated total energy in eV per atom: -5.4248

Cell lengths 7.0530, 5.8489, 8.9673 Å; angles 90.00, 108.65, 90.00 degrees
With the nearest neighbours (Å) after each atom.
Fractional positions:
Pa1 0.2321 0.2500 0.4456  8 Se 2.87-3.19, 1 Pd 3.20
Pa2 0.7679 0.7500 0.5544  8 Se 2.87-3.19, 1 Pd 3.20
Pd1 0.2456 0.7500 0.6564  4 Se 2.45-2.59
Pd2 0.7544 0.2500 0.3436  4 Se 2.45-2.59
Pb1 0.2194 0.2500 0.9633  4 Se 2.88-3.14
Pb2 0.7806 0.7500 0.0367  4 Se 2.88-3.14
Se1 0.0429 0.7500 0.3783  1 Pd 2.45
Se2 0.0664 0.7500 0.8679  1 Pd 2.59, 1 Pb 2.88
Se3 0.4601 0.5129 0.2859  1 Pd 2.50, 1 Se 2.77
Se4 0.4601 0.9871 0.2859  1 Pd 2.50, 1 Se 2.77
Se5 0.5399 0.0129 0.7141  1 Pd 2.50, 1 Se 2.77
Se6 0.5399 0.4871 0.7141  1 Pd 2.50, 1 Se 2.77
Se7 0.9336 0.2500 0.1321  1 Pd 2.59, 1 Pb 2.88
Se8 0.9571 0.2500 0.6217  1 Pd 2.45